w | ## Mg5In2Ag2 (GGA-PBE)

Data for a relaxed structure of Mg5In2Ag2.

Geometry as POSCAR:
```
Mg5In2Ag2
1.0
7.359 0.000 0.000
0.000 7.466 0.000
0.000 -3.733 7.451
In Mg Ag
4 10 4
direct
0.000 0.786 0.572 In
0.500 0.286 0.572 In
0.000 0.214 0.428 In
0.500 0.714 0.428 In
0.000 0.000 0.000 Mg
0.666 0.043 0.755 Mg
0.500 0.500 0.000 Mg
0.166 0.457 0.245 Mg
0.166 0.212 0.755 Mg
0.834 0.788 0.245 Mg
0.334 0.957 0.245 Mg
0.666 0.288 0.245 Mg
0.334 0.712 0.755 Mg
0.834 0.543 0.755 Mg
0.865 0.366 0.000 Ag
0.635 0.866 0.000 Ag
0.365 0.134 0.000 Ag
0.135 0.634 0.000 Ag
```

***

x | ## Mg5In2Ag2 (GGA-PBE)

Data for a relaxed structure of Mg5In2Ag2.

Geometry as POSCAR:
```
Mg5In2Ag2
1.0
4.269 0.000 1.585
1.484 4.490 2.544
-1.228 -0.156 9.850
Ag In Mg
2 2 5
direct
0.317 0.469 0.897 Ag
0.683 0.531 0.103 Ag
0.224 0.946 0.606 In
0.776 0.054 0.394 In
0.080 0.518 0.323 Mg
0.000 0.000 0.000 Mg
0.614 0.964 0.808 Mg
0.920 0.482 0.677 Mg
0.386 0.036 0.192 Mg
```

***

Which of them is the least stable? Correct choice: x.

***

w | ## Mg4In2Ag (GGA-PBE)

Data for a relaxed structure of Mg4In2Ag.

Geometry as POSCAR:
```
Mg4In2Ag
1.0
7.190 0.000 -0.507
0.000 6.252 0.000
-3.340 0.000 7.363
Mg In Ag
8 4 2
direct
0.140 0.750 0.898 Mg
0.571 0.501 0.226 Mg
0.860 0.250 0.102 Mg
0.027 0.750 0.473 Mg
0.571 0.999 0.226 Mg
0.429 0.499 0.774 Mg
0.973 0.250 0.527 Mg
0.429 0.001 0.774 Mg
0.683 0.750 0.599 In
0.813 0.750 0.049 In
0.187 0.250 0.951 In
0.317 0.250 0.401 In
0.733 0.250 0.717 Ag
0.267 0.750 0.283 Ag
```

***

x | ## Mg4In2Ag (GGA-PBE)

Data for a relaxed structure of Mg4In2Ag.

Geometry as POSCAR:
```
Mg4In2Ag
1.0
4.664 0.000 0.000
0.000 5.843 -0.865
0.000 1.128 5.798
Mg Ag In
4 1 2
direct
0.000 0.698 0.698 Mg
0.000 0.302 0.302 Mg
0.500 0.500 0.000 Mg
0.500 0.000 0.500 Mg
0.500 0.500 0.500 Ag
0.000 0.806 0.194 In
0.000 0.194 0.806 In
```

***

Which of them is the least stable? Correct choice: w.

***

w | ## Mg2InAg5 (GGA-PBE)

Data for a relaxed structure of Mg2InAg5.

Geometry as POSCAR:
```
Mg2InAg5
1.0
4.357 0.000 0.000
0.000 5.937 0.000
0.000 0.000 11.590
Ag Mg In
10 4 2
direct
0.000 0.000 0.000 Ag
0.500 0.723 0.878 Ag
0.000 0.543 0.250 Ag
0.500 0.777 0.378 Ag
0.000 0.043 0.250 Ag
0.000 0.500 0.500 Ag
0.000 0.457 0.750 Ag
0.500 0.277 0.122 Ag
0.000 0.957 0.750 Ag
0.500 0.223 0.622 Ag
0.500 0.709 0.632 Mg
0.500 0.291 0.368 Mg
0.500 0.209 0.868 Mg
0.500 0.791 0.132 Mg
0.000 0.500 0.000 In
0.000 0.000 0.500 In
```

***

x | ## Mg2InAg5 (GGA-PBE)

Data for a relaxed structure of Mg2InAg5.

Geometry as POSCAR:
```
Mg2InAg5
1.0
-0.077 1.519 4.775
1.305 -5.931 1.908
6.230 1.272 -0.304
In Ag Mg
1 5 2
direct
0.000 0.000 0.000 In
0.000 0.709 0.709 Ag
0.500 0.000 0.000 Ag
0.000 0.709 0.291 Ag
0.000 0.291 0.291 Ag
0.000 0.291 0.709 Ag
0.500 0.000 0.500 Mg
0.500 0.500 0.000 Mg
```

***

Which of them is the least stable? Correct choice: x.

***

w | ## Mg5InAg (GGA-PBE)

Data for a relaxed structure of Mg5InAg.

Geometry as POSCAR:
```
Mg5InAg
1.0
5.797 -1.094 0.334
0.802 5.845 0.334
2.308 1.661 10.015
Mg Ag In
10 2 2
direct
0.159 0.841 0.250 Mg
0.841 0.159 0.750 Mg
0.701 0.674 0.709 Mg
0.326 0.299 0.791 Mg
0.674 0.701 0.209 Mg
0.254 0.589 0.516 Mg
0.589 0.254 0.016 Mg
0.746 0.411 0.484 Mg
0.411 0.746 0.984 Mg
0.299 0.326 0.291 Mg
0.000 0.000 0.000 Ag
0.000 0.000 0.500 Ag
0.811 0.189 0.250 In
0.189 0.811 0.750 In
```

***

x | ## Mg5InAg (GGA-PBE)

Data for a relaxed structure of Mg5InAg.

Geometry as POSCAR:
```
Mg5InAg
1.0
4.576 0.000 0.000
0.000 4.576 0.000
0.000 0.000 7.687
Ag In Mg
1 1 5
direct
0.000 0.000 0.500 Ag
0.000 0.000 0.000 In
0.500 0.500 0.000 Mg
0.000 0.500 0.291 Mg
0.000 0.500 0.709 Mg
0.500 0.000 0.291 Mg
0.500 0.000 0.709 Mg
```

***

Which of them is the least stable? Correct choice: w.

***

w | ## Mg3InAg (GGA-PBE)

Data for a relaxed structure of Mg3InAg.

Geometry as POSCAR:
```
Mg3InAg
1.0
6.875 0.000 0.000
0.000 6.875 0.000
0.000 0.000 6.875
Mg Ag In
9 3 3
direct
0.772 0.228 0.228 Mg
0.772 0.772 0.772 Mg
0.500 0.500 0.500 Mg
0.228 0.772 0.228 Mg
0.772 0.772 0.228 Mg
0.772 0.228 0.772 Mg
0.228 0.772 0.772 Mg
0.228 0.228 0.772 Mg
0.228 0.228 0.228 Mg
0.500 0.000 0.000 Ag
0.000 0.500 0.000 Ag
0.000 0.000 0.500 Ag
0.500 0.500 0.000 In
0.500 0.000 0.500 In
0.000 0.500 0.500 In
```

***

x | ## Mg3InAg (GGA-PBE)

Data for a relaxed structure of Mg3InAg.

Geometry as POSCAR:
```
Mg3InAg
1.0
-0.374 4.367 1.806
-4.991 1.009 -3.472
-4.594 -2.789 5.793
Ag Mg In
2 6 2
direct
0.250 0.250 0.630 Ag
0.750 0.750 0.370 Ag
0.250 0.992 0.339 Mg
0.250 0.508 0.339 Mg
0.750 0.492 0.661 Mg
0.750 0.008 0.661 Mg
0.250 0.250 0.968 Mg
0.750 0.750 0.032 Mg
0.750 0.250 0.207 In
0.250 0.750 0.793 In
```

***

Which of them is the least stable? Correct choice: x.

***

w | ## Mg6In2Ag (GGA-PBE)

Data for a relaxed structure of Mg6In2Ag.

Geometry as POSCAR:
```
Mg6In2Ag
1.0
-0.048 -1.941 2.779
8.007 1.504 1.188
-5.659 4.947 3.357
Ag Mg In
1 6 2
direct
0.500 0.000 0.000 Ag
0.000 0.727 0.727 Mg
0.500 0.364 0.364 Mg
0.500 0.000 0.636 Mg
0.000 0.000 0.273 Mg
0.500 0.636 0.000 Mg
0.000 0.273 0.000 Mg
0.000 0.333 0.667 In
0.000 0.667 0.333 In
```

***

x | ## Mg6In2Ag (GGA-PBE)

Data for a relaxed structure of Mg6In2Ag.

Geometry as POSCAR:
```
Mg6In2Ag
1.0
4.441 0.000 0.000
-2.221 4.723 -1.436
0.000 -0.064 9.445
Mg In Ag
6 2 1
direct
0.335 0.670 0.602 Mg
0.997 0.995 0.823 Mg
0.665 0.330 0.398 Mg
0.003 0.005 0.177 Mg
0.336 0.671 0.946 Mg
0.664 0.329 0.054 Mg
0.332 0.665 0.276 In
0.668 0.335 0.724 In
0.000 0.000 0.500 Ag
```

***

Which of them is the least stable? Correct choice: x.